1.
ZrAsCl3 | PBE | relaxed

## Properties
- volume (Å³ per cell) = 134.9
- formation energy from raw total energies (meV/atom) = 297
- energy (eV/atom) = -3.451
- crystal system = cubic
- density of states at the Fermi level (states/eV per cell) = 5.24
- E above lowest polymorph (eV per atom) = 0.920

Lattice parameters (Å, degrees): 5.1281 5.1281 5.1281 90.00 90.00 90.00
Space group Pm-3m (No. 221)
Symmetry-distinct sites (fractional):
Zr1 0.0000 0.0000 0.0000 x1
As1 0.5000 0.5000 0.5000 x1
Cl1 0.0000 0.5000 0.5000 x3

***

2.
Co3As | PBE | relaxed

## Properties
- volume (Å³ per cell) = 49.2
- energy (eV/atom) = -6.273
- crystal system = hexagonal
- formation energy from the elements (eV per formula unit) = 0.87
- density of states at the Fermi level (states/eV per cell) = 4.14

Lattice parameters (Å, degrees): 2.7680 2.7680 7.4163 90.00 90.00 120.00
Space group P-6m2 (No. 187)
Symmetry-distinct sites (fractional):
Co1 0.0000 0.0000 0.0000 x1
Co2 0.6667 0.3333 0.2566 x2
As1 0.0000 0.0000 0.5000 x1

***

3.
CoAs3 | PBE | relaxed

## Properties
- volume (Å³ per cell) = 136.2
- energy (eV/atom) = -5.026
- crystal system = cubic
- formation energy from the elements (eV per formula unit) = 0.95
- density of states at the Fermi level (states/eV per cell) = 3.04
- E above lowest polymorph (eV per atom) = 0.546

Lattice parameters (Å, degrees): 5.1448 5.1448 5.1448 90.00 90.00 90.00
Space group Im-3m (No. 229)
Symmetry-distinct sites (fractional):
Co1 0.0000 0.0000 0.0000 x2
As1 0.0000 0.0000 0.5000 x6

***

4.
CoAs3 | PBE | relaxed

## Properties
- volume (Å³ per cell) = 565.5
- energy (eV/atom) = -5.571
- crystal system = cubic
- formation energy from the elements (eV per formula unit) = -1.23
- density of states at the Fermi level (states/eV per cell) = 4.85
- E above lowest polymorph (eV per atom) = 0.000

Lattice parameters (Å, degrees): 8.2693 8.2693 8.2693 90.00 90.00 90.00
Space group Im-3 (No. 204)
Symmetry-distinct sites (fractional):
Co1 0.2500 0.2500 0.2500 x8
As1 0.0000 0.1520 0.3415 x24

***

5.
CoAs3 | PBE | relaxed

## Properties
- volume (Å³ per cell) = 201.7
- energy (eV/atom) = -5.101
- crystal system = trigonal
- formation energy from the elements (eV per formula unit) = 0.65
- density of states at the Fermi level (states/eV per cell) = 9.90
- E above lowest polymorph (eV per atom) = 0.470

Lattice parameters (Å, degrees): 3.0648 3.0648 24.7942 90.00 90.00 120.00
Space group R-3m (No. 166, hexagonal axes)
Symmetry-distinct sites (fractional):
Co1 0.0000 0.0000 0.0000 x3
As1 0.0000 0.0000 0.2670 x6
As2 0.0000 0.0000 0.5000 x3

***

6.
Co3As | PBE | relaxed

## Properties
- volume (Å³ per cell) = 146.9
- energy (eV/atom) = -6.277
- crystal system = trigonal
- formation energy from the elements (eV per formula unit) = 0.86
- density of states at the Fermi level (states/eV per cell) = 15.29

Lattice parameters (Å, degrees): 2.7168 2.7168 22.9795 90.00 90.00 120.00
Space group R-3m (No. 166, hexagonal axes)
Symmetry-distinct sites (fractional):
Co1 0.0000 0.0000 0.0000 x3
Co2 0.0000 0.0000 0.2497 x6
As1 0.0000 0.0000 0.5000 x3